# 1
Compound: Ce3ZnIr8
Source: Alexandria
Functional: GGA-PBE
Structure: relaxed

Cell lengths 5.3545, 5.3545, 9.2600 Å; angles 73.19, 73.19, 60.00 degrees
Atoms (fractional coordinates):
Ir (0.4374, 0.9396, 0.1855)
Ir (0.1891, 0.1891, 0.4328)
Ir (0.9387, 0.9387, 0.6834)
Ir (0.9396, 0.4374, 0.1855)
Ir (0.4374, 0.4374, 0.1855)
Ir (0.9387, 0.4391, 0.6834)
Ir (0.6887, 0.6887, 0.9338)
Ir (0.4391, 0.9387, 0.6834)
Ce (0.3771, 0.3771, 0.8686)
Ce (0.9920, 0.9920, 0.0239)
Ce (0.5055, 0.5055, 0.4835)
Zn (0.8664, 0.8664, 0.4007)

Summary:
- Density of states at the Fermi level: 1.3028 states/eV per atom
- ΔH_f (0 K): -585.4 meV per atom
- Space group: R3m
- Calculated total energy: -8.082 eV/atom

=====

# 2
Compound: Y5Cu4Pd
Source: Alexandria
Functional: GGA-PBE
Structure: relaxed

Cell lengths 3.4756, 3.4756, 17.6542 Å; angles 90.00, 90.00, 90.00 degrees
Atoms (fractional coordinates):
Cu (0.0000, 0.0000, 0.2016)
Cu (0.0000, 0.0000, 0.5993)
Cu (0.0000, 0.0000, 0.7984)
Cu (0.0000, 0.0000, 0.4007)
Y (0.5000, 0.5000, 0.6995)
Y (0.5000, 0.5000, 0.5000)
Y (0.5000, 0.5000, 0.8990)
Y (0.5000, 0.5000, 0.1010)
Y (0.5000, 0.5000, 0.3005)
Pd (0.0000, 0.0000, 0.0000)

Summary:
- Density of states at the Fermi level: 0.5920 states/eV per atom
- ΔH_f (0 K): -368.4 meV per atom
- Space group: P4/mmm
- Calculated total energy: -5.758 eV/atom